Record 1
Computed, not measured: crystalline TbNd3Er2As6 at its relaxed geometry at the PBE-GGA level of DFT.

Lattice parameters (Å, degrees): 7.257 12.567 7.248 90.00 109.47 90.00
Space group C2/m (No. 12)
Symmetry-distinct sites (fractional):
1 Tb 0.000 0.000 0.000 (multiplicity 2)
2 Nd 0.000 0.166 0.500 (multiplicity 4)
3 Nd 0.000 0.500 0.500 (multiplicity 2)
4 Er 0.000 0.333 0.000 (multiplicity 4)
5 As 0.245 0.500 0.239 (multiplicity 4)
6 As 0.247 0.168 0.240 (multiplicity 8)

Calculated values
- energy relative to the elements (eV/atom) = -1.512

Record 2
Computed, not measured: crystalline Sr2La3Cd2 at its relaxed geometry at the PBE-GGA level of DFT.

Lattice parameters (Å, degrees): 3.972 33.211 3.916 90.00 90.00 90.00
Space group Cmmm (No. 65)
Symmetry-distinct sites (fractional):
1 Sr 0.000 0.194 0.000 (multiplicity 4)
2 La 0.000 0.074 0.000 (multiplicity 4)
3 La 0.000 0.500 0.500 (multiplicity 2)
4 Cd 0.000 0.369 0.500 (multiplicity 4)

Calculated values
- energy relative to the elements (eV/atom) = -0.163

Record 3
Computed, not measured: crystalline AlSi2Tc at its relaxed geometry at the PBE-GGA level of DFT.

Lattice parameters (Å, degrees): 8.371 3.019 4.527 90.00 97.41 90.00
Space group C2/m (No. 12)
Symmetry-distinct sites (fractional):
1 Al 0.000 0.000 0.000 (multiplicity 2)
2 Si 0.238 0.000 0.722 (multiplicity 4)
3 Tc 0.000 0.500 0.500 (multiplicity 2)

Calculated values
- formation energy (no corrections) (eV per atom) = -0.18

Record 4
Computed, not measured: crystalline NaAlPb at its relaxed geometry at the PBE-GGA level of DFT.

Lattice parameters (Å, degrees): 3.550 5.493 8.412 109.05 90.04 90.09
Space group P1 (No. 1)
Symmetry-distinct sites (fractional):
1 Na 0.000 0.000 0.000 (multiplicity 1)
2 Na 0.003 0.640 0.280 (multiplicity 1)
3 Al 0.001 0.089 0.640 (multiplicity 1)
4 Al 0.500 0.706 0.640 (multiplicity 1)
5 Pb 0.501 0.195 0.383 (multiplicity 1)
6 Pb 0.502 0.451 0.897 (multiplicity 1)

Calculated values
- energy relative to the elements (eV/atom) = 0.012

Record 5
Computed, not measured: crystalline HfZrC2 at its relaxed geometry at the PBE-GGA level of DFT.

Lattice parameters (Å, degrees): 3.2982 3.2982 16.9402 90.00 90.00 120.00
Space group R3m (No. 160, hexagonal axes)
Symmetry-distinct sites (fractional):
1 Hf 0.0000 0.0000 0.0000 (multiplicity 3)
2 Zr 0.0000 0.0000 0.1741 (multiplicity 3)
3 C 0.0000 0.0000 0.5859 (multiplicity 3)
4 C 0.0000 0.0000 0.7520 (multiplicity 3)

Calculated values
- energy relative to the elements (eV/atom) = -0.462
- E above lowest polymorph (eV/atom) = 0.410

Record 6
Computed, not measured: crystalline NiOs2Pb at its relaxed geometry at the PBE-GGA level of DFT.

Lattice parameters (Å, degrees): 2.935 2.935 7.594 90.00 90.00 90.00
Space group P4mm (No. 99)
Symmetry-distinct sites (fractional):
1 Ni 0.000 0.000 0.000 (multiplicity 1)
2 Os 0.000 0.000 0.429 (multiplicity 1)
3 Os 0.500 0.500 0.221 (multiplicity 1)
4 Pb 0.500 0.500 0.733 (multiplicity 1)

Calculated values
- energy relative to the elements (eV/atom) = 0.550

| no. | DFT total energy (eV/atom) | density of states at the Fermi level (states/eV per atom) |
| --- | --- | --- |
| 1 | -6.175 | 0.15 |
| 2 | -3.017 | 1.12 |
| 3 | -6.416 | 0.37 |
| 4 | -2.911 | 0.29 |
| 5 | -9.700 | 0.18 |
| 6 | -7.437 | 1.05 |